Na2Ga4PtAu: optimized geometry, PBE.

CIF file:
```
data_Na2Ga4PtAu
_chemical_formula_sum 'Na4 Ga8 Pt2 Au2'
_cell_length_a 7.179
_cell_length_b 4.273
_cell_length_c 10.049
_cell_angle_alpha 90.00
_cell_angle_beta 90.00
_cell_angle_gamma 90.00
_space_group_name_H-M_alt 'A m m 2'
_space_group_IT_number 38
_space_group_name_Hall 'A 2 -2'
loop_
_atom_site_label
_atom_site_type_symbol
_atom_site_fract_x
_atom_site_fract_y
_atom_site_fract_z
Na1 Na 0.000 0.000 0.000
Na2 Na 0.500 0.000 0.140
Ga1 Ga 0.190 0.000 0.710
Ga2 Ga 0.293 0.000 0.429
Pt1 Pt 0.000 0.000 0.282
Au1 Au 0.500 0.000 0.856
```

Na2Sc2Ga2PtAu: optimized geometry, PBE.

CIF file:
```
data_Na2Sc2Ga2PtAu
_chemical_formula_sum 'Na2 Sc2 Ga2 Pt1 Au1'
_cell_length_a 4.655
_cell_length_b 4.655
_cell_length_c 6.592
_cell_angle_alpha 90.00
_cell_angle_beta 90.00
_cell_angle_gamma 90.00
_space_group_name_H-M_alt 'P -4 m 2'
_space_group_IT_number 115
_space_group_name_Hall 'P -4 -2'
loop_
_atom_site_label
_atom_site_type_symbol
_atom_site_fract_x
_atom_site_fract_y
_atom_site_fract_z
Na1 Na 0.000 0.000 0.000
Na2 Na 0.500 0.500 0.500
Sc1 Sc 0.000 0.500 0.242
Ga1 Ga 0.000 0.500 0.757
Pt1 Pt 0.500 0.500 0.000
Au1 Au 0.000 0.000 0.500
```

Na4GaSbAu2: optimized geometry, PBE.

CIF file:
```
data_Na4GaSbAu2
_chemical_formula_sum 'Na4 Ga1 Sb1 Au2'
_cell_length_a 4.850
_cell_length_b 4.850
_cell_length_c 7.205
_cell_angle_alpha 90.00
_cell_angle_beta 90.00
_cell_angle_gamma 90.00
_space_group_name_H-M_alt 'P -4 m 2'
_space_group_IT_number 115
_space_group_name_Hall 'P -4 -2'
loop_
_atom_site_label
_atom_site_type_symbol
_atom_site_fract_x
_atom_site_fract_y
_atom_site_fract_z
Na1 Na 0.000 0.000 0.000
Na2 Na 0.000 0.500 0.736
Na3 Na 0.500 0.500 0.500
Ga1 Ga 0.000 0.000 0.500
Sb1 Sb 0.500 0.500 0.000
Au1 Au 0.000 0.500 0.273
```

NaSrGa4Au2: optimized geometry, PBE.

CIF file:
```
data_NaSrGa4Au2
_chemical_formula_sum 'Na2 Sr2 Ga8 Au4'
_cell_length_a 7.102
_cell_length_b 4.520
_cell_length_c 10.560
_cell_angle_alpha 90.00
_cell_angle_beta 90.00
_cell_angle_gamma 90.00
_space_group_name_H-M_alt 'A m m 2'
_space_group_IT_number 38
_space_group_name_Hall 'A 2 -2'
loop_
_atom_site_label
_atom_site_type_symbol
_atom_site_fract_x
_atom_site_fract_y
_atom_site_fract_z
Na1 Na 0.000 0.000 0.000
Sr1 Sr 0.500 0.000 0.850
Ga1 Ga 0.187 0.000 0.287
Ga2 Ga 0.299 0.000 0.557
Au1 Au 0.000 0.000 0.716
Au2 Au 0.500 0.000 0.138
```

NaGa2Te4Au: optimized geometry, PBE.

CIF file:
```
data_NaGa2Te4Au
_chemical_formula_sum 'Na2 Ga4 Te8 Au2'
_cell_length_a 6.556
_cell_length_b 6.556
_cell_length_c 12.278
_cell_angle_alpha 90.00
_cell_angle_beta 90.00
_cell_angle_gamma 90.00
_space_group_name_H-M_alt 'I -4'
_space_group_IT_number 82
_space_group_name_Hall 'I -4'
loop_
_atom_site_label
_atom_site_type_symbol
_atom_site_fract_x
_atom_site_fract_y
_atom_site_fract_z
Na1 Na 0.000 0.000 0.000
Ga1 Ga 0.000 0.000 0.500
Ga2 Ga 0.000 0.500 0.750
Te1 Te 0.223 0.237 0.631
Au1 Au 0.000 0.500 0.250
```

NbGaAu2: optimized geometry, PBE.

CIF file:
```
data_NbGaAu2
_chemical_formula_sum 'Nb4 Ga4 Au8'
_cell_length_a 6.540
_cell_length_b 6.540
_cell_length_c 6.540
_cell_angle_alpha 90.00
_cell_angle_beta 90.00
_cell_angle_gamma 90.00
_space_group_name_H-M_alt 'F -4 3 m'
_space_group_IT_number 216
_space_group_name_Hall 'F -4 2 3'
loop_
_atom_site_label
_atom_site_type_symbol
_atom_site_fract_x
_atom_site_fract_y
_atom_site_fract_z
Nb1 Nb 0.000 0.000 0.000
Ga1 Ga 0.250 0.250 0.750
Au1 Au 0.000 0.000 0.500
Au2 Au 0.250 0.250 0.250
```

Nb3GaAu: optimized geometry, PBE.

CIF file:
```
data_Nb3GaAu
_chemical_formula_sum 'Nb12 Ga4 Au4'
_cell_length_a 7.028
_cell_length_b 7.028
_cell_length_c 7.028
_cell_angle_alpha 90.00
_cell_angle_beta 90.00
_cell_angle_gamma 90.00
_space_group_name_H-M_alt 'P 21 3'
_space_group_IT_number 198
_space_group_name_Hall 'P 2ac 2ab 3'
loop_
_atom_site_label
_atom_site_type_symbol
_atom_site_fract_x
_atom_site_fract_y
_atom_site_fract_z
Nb1 Nb 0.043 0.132 0.796
Ga1 Ga 0.186 0.186 0.186
Au1 Au 0.065 0.935 0.435
```

NbGaAu: optimized geometry, PBE.

CIF file:
```
data_NbGaAu
_chemical_formula_sum 'Nb4 Ga4 Au4'
_cell_length_a 6.199
_cell_length_b 6.199
_cell_length_c 6.199
_cell_angle_alpha 90.00
_cell_angle_beta 90.00
_cell_angle_gamma 90.00
_space_group_name_H-M_alt 'F -4 3 m'
_space_group_IT_number 216
_space_group_name_Hall 'F -4 2 3'
loop_
_atom_site_label
_atom_site_type_symbol
_atom_site_fract_x
_atom_site_fract_y
_atom_site_fract_z
Nb1 Nb 0.000 0.000 0.000
Ga1 Ga 0.000 0.000 0.500
Au1 Au 0.250 0.250 0.750
```

So what do the calculations give for calculated total energy? Going down the list: -3.385, -4.303, -2.656, -3.117, -3.289, -4.913, -7.495, -5.323 eV/atom.